{
  "formula": "BaAg2Br",
  "functional": "PBE-GGA",
  "state": "optimized geometry",
  "spacegroup": "No. 6",
  "de_polymorph_ev_per_atom": 0.040,
  "raw_formation_energy_ev_per_atom": -0.63,
  "magnetic_moment_mub_per_cell": 0.0,
  "cell": [[4.111, 0.000, 0.000], [0.000, 4.113, -0.012], [0.000, 0.483, 7.569]],
  "species": ["Ba", "Ag", "Ag", "Br"],
  "fractional_positions": [[0.000, 0.358, 0.507], [0.000, 0.903, 0.146], [0.500, 0.404, 0.145], [0.500, 0.836, 0.702]]
}



{
  "formula": "BaAg5Br7",
  "functional": "PBE-GGA",
  "state": "optimized geometry",
  "spacegroup": "No. 44",
  "raw_formation_energy_ev_per_atom": -0.64,
  "magnetic_moment_mub_per_cell": 0.0,
  "cell": [[5.775, 0.000, 0.000], [2.887, 8.493, 1.325], [2.887, 1.298, 8.497]],
  "species": ["Br", "Br", "Ag", "Br", "Ag", "Br", "Ag", "Ag", "Ba", "Br", "Ag", "Br", "Br"],
  "fractional_positions": [[0.585, 0.090, 0.740], [0.908, 0.387, 0.797], [0.755, 0.745, 0.745], [0.908, 0.797, 0.387], [0.999, 0.039, 0.464], [0.248, 0.752, 0.752], [0.498, 0.039, 0.464], [0.999, 0.464, 0.039], [0.009, 0.991, 0.991], [0.339, 0.161, 0.161], [0.498, 0.464, 0.039], [0.668, 0.332, 0.332], [0.585, 0.740, 0.090]]
}



{
  "formula": "BaAgBr",
  "functional": "PBE-GGA",
  "state": "optimized geometry",
  "spacegroup": "No. 156",
  "de_polymorph_ev_per_atom": 0.062,
  "raw_formation_energy_ev_per_atom": -0.88,
  "magnetic_moment_mub_per_cell": 0.0,
  "cell": [[4.946, 0.000, 0.000], [-2.473, 4.283, 0.000], [0.000, 0.000, 6.279]],
  "species": ["Br", "Ba", "Ag"],
  "fractional_positions": [[0.333, 0.667, 0.603], [0.667, 0.333, 0.352], [0.000, 0.000, 0.045]]
}



{
  "formula": "Ba2AgBr",
  "functional": "PBE-GGA",
  "state": "optimized geometry",
  "spacegroup": "No. 38",
  "de_polymorph_ev_per_atom": 0.095,
  "raw_formation_energy_ev_per_atom": -0.82,
  "magnetic_moment_mub_per_cell": 0.2,
  "cell": [[7.036, 0.015, -0.006], [5.720, 4.097, -0.006], [0.005, 0.002, 5.332]],
  "species": ["Ag", "Ba", "Br", "Ba"],
  "fractional_positions": [[0.263, 0.263, 0.125], [0.998, 0.998, 0.125], [0.492, 0.492, 0.625], [0.747, 0.747, 0.625]]
}



{
  "formula": "BaAgBr",
  "functional": "PBE-GGA",
  "state": "optimized geometry",
  "spacegroup": "No. 107",
  "de_polymorph_ev_per_atom": 0.067,
  "raw_formation_energy_ev_per_atom": -0.88,
  "magnetic_moment_mub_per_cell": 0.0,
  "cell": [[6.276, -0.142, 0.159], [4.914, 3.907, 0.164], [1.362, 0.453, 4.023]],
  "species": ["Ba", "Br", "Ag"],
  "fractional_positions": [[0.330, 0.330, 0.670], [0.676, 0.676, 0.324], [0.994, 0.994, 0.006]]
}



{
  "formula": "BaAg5Br12",
  "functional": "PBE-GGA",
  "state": "optimized geometry",
  "spacegroup": "No. 2",
  "raw_formation_energy_ev_per_atom": -0.50,
  "magnetic_moment_mub_per_cell": 0.0,
  "cell": [[-1.690, -2.797, 6.706], [-6.561, -1.862, 0.559], [1.995, -13.708, 1.597]],
  "species": ["Ag", "Br", "Br", "Br", "Br", "Br", "Ag", "Br", "Ba", "Br", "Br", "Ag", "Br", "Br", "Ag", "Br", "Ag", "Br"],
  "fractional_positions": [[0.830, 0.330, 0.506], [0.432, 0.602, 0.868], [0.972, 0.587, 0.146], [0.543, 0.719, 0.370], [0.568, 0.398, 0.132], [0.028, 0.413, 0.854], [0.346, 0.327, 0.013], [0.134, 0.947, 0.618], [0.000, 0.000, 0.000], [0.203, 0.374, 0.380], [0.866, 0.053, 0.382], [0.654, 0.673, 0.987], [0.295, 0.987, 0.123], [0.797, 0.626, 0.620], [0.500, 0.000, 0.500], [0.705, 0.013, 0.877], [0.170, 0.670, 0.494], [0.457, 0.281, 0.630]]
}



{
  "formula": "BaAg4Br",
  "functional": "PBE-GGA",
  "state": "optimized geometry",
  "spacegroup": "No. 216",
  "raw_formation_energy_ev_per_atom": -0.28,
  "magnetic_moment_mub_per_cell": 0.0,
  "cell": [[0.000, 4.183, 4.183], [4.183, 0.000, 4.183], [4.183, 4.183, 0.000]],
  "species": ["Ag", "Ba", "Ag", "Ag", "Br", "Ag"],
  "fractional_positions": [[0.374, 0.878, 0.374], [0.750, 0.750, 0.750], [0.374, 0.374, 0.374], [0.878, 0.374, 0.374], [0.000, 0.000, 0.000], [0.374, 0.374, 0.878]]
}



{
  "formula": "BaAg2Br",
  "functional": "PBE-GGA",
  "state": "optimized geometry",
  "spacegroup": "No. 225",
  "de_polymorph_ev_per_atom": 0.489,
  "raw_formation_energy_ev_per_atom": -0.18,
  "magnetic_moment_mub_per_cell": 0.0,
  "cell": [[0.000, 3.925, 3.925], [3.925, 0.000, 3.925], [3.925, 3.925, 0.000]],
  "species": ["Ag", "Ag", "Br", "Ba"],
  "fractional_positions": [[0.250, 0.250, 0.250], [0.750, 0.750, 0.750], [0.000, 0.000, 0.000], [0.500, 0.500, 0.500]]
}



{
  "formula": "BaAg2Br",
  "functional": "PBE-GGA",
  "state": "optimized geometry",
  "spacegroup": "No. 44",
  "de_polymorph_ev_per_atom": 0.138,
  "raw_formation_energy_ev_per_atom": -0.53,
  "magnetic_moment_mub_per_cell": 0.0,
  "cell": [[5.713, -0.008, -0.006], [-0.011, 5.713, 0.006], [-2.307, -3.397, 3.972]],
  "species": ["Br", "Ag", "Ag", "Ba"],
  "fractional_positions": [[0.249, 0.749, 0.500], [0.816, 0.316, 0.500], [0.931, 0.931, 0.000], [0.503, 0.503, 0.000]]
}



{
  "formula": "Ba2AgBr5",
  "functional": "PBE-GGA",
  "state": "optimized geometry",
  "spacegroup": "No. 14",
  "raw_formation_energy_ev_per_atom": -1.70,
  "magnetic_moment_mub_per_cell": 0.0,
  "cell": [[9.049, 0.000, -2.367], [0.000, 10.191, 0.000], [-0.170, 0.000, 13.170]],
  "species": ["Ba", "Br", "Br", "Br", "Ba", "Br", "Br", "Br", "Br", "Br", "Ba", "Br", "Ba", "Br", "Ag", "Br", "Ba", "Ba", "Br", "Br", "Br", "Ag", "Ag", "Ba", "Ba", "Ag", "Br", "Br", "Br", "Br", "Br", "Br"],
  "fractional_positions": [[0.257, 0.625, 0.034], [0.422, 0.184, 0.354], [0.520, 0.642, 0.905], [0.922, 0.316, 0.354], [0.550, 0.864, 0.384], [0.562, 0.101, 0.886], [0.078, 0.684, 0.646], [0.438, 0.899, 0.114], [0.480, 0.358, 0.095], [0.771, 0.076, 0.557], [0.743, 0.375, 0.966], [0.980, 0.142, 0.095], [0.050, 0.636, 0.384], [0.836, 0.887, 0.286], [0.896, 0.872, 0.681], [0.020, 0.858, 0.905], [0.450, 0.136, 0.616], [0.757, 0.875, 0.034], [0.062, 0.399, 0.886], [0.664, 0.387, 0.714], [0.938, 0.601, 0.114], [0.104, 0.128, 0.319], [0.396, 0.628, 0.681], [0.950, 0.364, 0.616], [0.243, 0.125, 0.966], [0.604, 0.372, 0.319], [0.578, 0.816, 0.646], [0.271, 0.424, 0.557], [0.164, 0.113, 0.714], [0.229, 0.924, 0.443], [0.336, 0.613, 0.286], [0.729, 0.576, 0.443]]
}



{
  "formula": "BaAg2Br",
  "functional": "PBE-GGA",
  "state": "optimized geometry",
  "spacegroup": "No. 47",
  "de_polymorph_ev_per_atom": 0.123,
  "raw_formation_energy_ev_per_atom": -0.55,
  "magnetic_moment_mub_per_cell": 0.0,
  "cell": [[4.417, 0.000, 0.000], [0.000, 4.506, 0.005], [0.000, 4.495, 6.118]],
  "species": ["Br", "Ag", "Ag", "Ba"],
  "fractional_positions": [[0.000, 0.000, 0.500], [0.000, 0.000, 0.000], [0.500, 0.500, 0.000], [0.500, 0.500, 0.500]]
}



{
  "formula": "BaAgBr2",
  "functional": "PBE-GGA",
  "state": "optimized geometry",
  "spacegroup": "No. 12",
  "de_polymorph_ev_per_atom": 0.025,
  "raw_formation_energy_ev_per_atom": -1.11,
  "magnetic_moment_mub_per_cell": 0.0,
  "cell": [[5.248, -0.004, -0.003], [0.005, 5.248, -0.003], [0.017, 0.017, 4.304]],
  "species": ["Ag", "Br", "Ba", "Br"],
  "fractional_positions": [[0.500, 0.000, 0.500], [0.000, 0.000, 0.000], [0.000, 0.500, 0.500], [0.500, 0.500, 0.000]]
}



{
  "formula": "BaAg2Br",
  "functional": "PBE-GGA",
  "state": "optimized geometry",
  "spacegroup": "No. 122",
  "de_polymorph_ev_per_atom": 0.244,
  "raw_formation_energy_ev_per_atom": -0.43,
  "magnetic_moment_mub_per_cell": 0.0,
  "cell": [[9.517, 0.000, 0.000], [0.000, 9.517, 0.000], [4.759, 4.759, 3.011]],
  "species": ["Br", "Ba", "Ag", "Ag", "Ba", "Ag", "Ag", "Br"],
  "fractional_positions": [[0.250, 0.750, 0.500], [0.750, 0.250, 0.500], [0.875, 0.858, 0.750], [0.375, 0.392, 0.750], [0.000, 0.000, 0.000], [0.142, 0.625, 0.250], [0.608, 0.125, 0.250], [0.500, 0.500, 0.000]]
}



{
  "formula": "Ba2AgBr",
  "functional": "PBE-GGA",
  "state": "optimized geometry",
  "spacegroup": "No. 44",
  "de_polymorph_ev_per_atom": 0.100,
  "raw_formation_energy_ev_per_atom": -0.81,
  "magnetic_moment_mub_per_cell": 0.4,
  "cell": [[9.205, -0.018, -0.039], [7.170, 5.773, 0.039], [-8.214, -2.801, 3.068]],
  "species": ["Ag", "Ba", "Ba", "Br"],
  "fractional_positions": [[0.202, 0.702, 0.500], [0.054, 0.054, 0.000], [0.789, 0.289, 0.500], [0.456, 0.456, 0.000]]
}



{
  "formula": "Ba2AgBr",
  "functional": "PBE-GGA",
  "state": "optimized geometry",
  "spacegroup": "No. 166",
  "de_polymorph_ev_per_atom": 0.000,
  "raw_formation_energy_ev_per_atom": -0.91,
  "magnetic_moment_mub_per_cell": 0.0,
  "cell": [[4.731, -0.002, -0.001], [2.366, 4.097, -0.001], [2.364, 1.364, 8.579]],
  "species": ["Ba", "Ag", "Br", "Ba"],
  "fractional_positions": [[0.992, 0.992, 0.024], [0.250, 0.250, 0.250], [0.750, 0.750, 0.750], [0.508, 0.508, 0.476]]
}



{
  "formula": "Ba2AgBr6",
  "functional": "PBE-GGA",
  "state": "optimized geometry",
  "spacegroup": "No. 136",
  "de_polymorph_ev_per_atom": 0.103,
  "raw_formation_energy_ev_per_atom": -1.43,
  "magnetic_moment_mub_per_cell": 2.0,
  "cell": [[-0.252, -5.452, 4.850], [5.779, 2.813, 3.463], [-8.505, 7.559, 8.054]],
  "species": ["Br", "Br", "Br", "Ba", "Br", "Ag", "Br", "Ba", "Br", "Br", "Ag", "Br", "Ba", "Br", "Br", "Br", "Ba", "Br"],
  "fractional_positions": [[0.681, 0.681, 0.358], [0.181, 0.819, 0.142], [0.210, 0.790, 0.500], [0.500, 0.500, 0.165], [0.681, 0.681, 0.642], [0.000, 0.000, 0.000], [0.319, 0.319, 0.358], [0.000, 0.000, 0.335], [0.181, 0.819, 0.858], [0.819, 0.181, 0.142], [0.500, 0.500, 0.500], [0.710, 0.710, 0.000], [0.000, 0.000, 0.665], [0.319, 0.319, 0.642], [0.819, 0.181, 0.858], [0.790, 0.210, 0.500], [0.500, 0.500, 0.835], [0.290, 0.290, 0.000]]
}



{
  "formula": "BaAgBr2",
  "functional": "PBE-GGA",
  "state": "optimized geometry",
  "spacegroup": "No. 10",
  "de_polymorph_ev_per_atom": 0.118,
  "raw_formation_energy_ev_per_atom": -1.02,
  "magnetic_moment_mub_per_cell": 0.0,
  "cell": [[4.046, 0.000, 0.000], [0.000, 3.911, -0.636], [0.000, 1.415, 9.658]],
  "species": ["Br", "Ag", "Br", "Ba"],
  "fractional_positions": [[0.000, 0.242, 0.565], [0.500, 0.250, 0.250], [0.000, 0.258, 0.935], [0.500, 0.750, 0.750]]
}



{
  "formula": "BaAg2Br",
  "functional": "PBE-GGA",
  "state": "optimized geometry",
  "spacegroup": "No. 8",
  "de_polymorph_ev_per_atom": 0.000,
  "raw_formation_energy_ev_per_atom": -0.67,
  "magnetic_moment_mub_per_cell": 0.0,
  "cell": [[-0.012, 4.731, -0.949], [0.809, 1.567, -4.492], [-7.170, -0.558, -1.164]],
  "species": ["Ag", "Ba", "Ag", "Br"],
  "fractional_positions": [[0.800, 0.800, 0.830], [0.455, 0.455, 0.531], [0.133, 0.133, 0.846], [0.112, 0.112, 0.294]]
}



{
  "formula": "BaAgBr5",
  "functional": "PBE-GGA",
  "state": "optimized geometry",
  "spacegroup": "No. 15",
  "raw_formation_energy_ev_per_atom": -0.96,
  "magnetic_moment_mub_per_cell": 0.0,
  "cell": [[6.837, 0.713, 0.960], [2.845, 6.258, 0.960], [4.894, 3.523, 12.455]],
  "species": ["Br", "Br", "Br", "Br", "Br", "Br", "Ag", "Br", "Br", "Ba", "Ba", "Ag", "Br", "Br"],
  "fractional_positions": [[0.966, 0.595, 0.631], [0.089, 0.911, 0.250], [0.560, 0.177, 0.538], [0.405, 0.034, 0.869], [0.911, 0.089, 0.750], [0.034, 0.405, 0.369], [0.000, 0.000, 0.000], [0.177, 0.560, 0.038], [0.823, 0.440, 0.962], [0.599, 0.401, 0.250], [0.401, 0.599, 0.750], [0.000, 0.000, 0.500], [0.595, 0.966, 0.131], [0.440, 0.823, 0.462]]
}



{
  "formula": "Ba2AgBr",
  "functional": "PBE-GGA",
  "state": "optimized geometry",
  "spacegroup": "No. 160",
  "de_polymorph_ev_per_atom": 0.015,
  "raw_formation_energy_ev_per_atom": -0.90,
  "magnetic_moment_mub_per_cell": 0.0,
  "cell": [[4.711, 0.000, 0.000], [2.356, 4.080, 0.000], [2.356, 1.360, 8.717]],
  "species": ["Ag", "Ba", "Ba", "Br"],
  "fractional_positions": [[0.668, 0.668, 0.996], [0.074, 0.074, 0.777], [0.260, 0.260, 0.221], [0.498, 0.498, 0.506]]
}



{
  "formula": "Ba2AgBr",
  "functional": "PBE-GGA",
  "state": "optimized geometry",
  "spacegroup": "No. 122",
  "de_polymorph_ev_per_atom": 0.158,
  "raw_formation_energy_ev_per_atom": -0.76,
  "magnetic_moment_mub_per_cell": 0.0,
  "cell": [[8.738, 0.000, 0.000], [0.000, 8.738, 0.000], [4.369, 4.369, 4.693]],
  "species": ["Ba", "Ba", "Ag", "Ag", "Ba", "Ba", "Br", "Br"],
  "fractional_positions": [[0.375, 0.372, 0.750], [0.875, 0.878, 0.750], [0.750, 0.250, 0.500], [0.000, 0.000, 0.000], [0.628, 0.125, 0.250], [0.122, 0.625, 0.250], [0.250, 0.750, 0.500], [0.500, 0.500, 0.000]]
}



{
  "formula": "Ba4AgBr",
  "functional": "PBE-GGA",
  "state": "optimized geometry",
  "spacegroup": "No. 216",
  "raw_formation_energy_ev_per_atom": 0.15,
  "magnetic_moment_mub_per_cell": 0.0,
  "cell": [[0.000, 5.338, 5.338], [5.338, 0.000, 5.338], [5.338, 5.338, 0.000]],
  "species": ["Ba", "Ag", "Br", "Ba", "Ba", "Ba"],
  "fractional_positions": [[0.375, 0.875, 0.375], [0.000, 0.000, 0.000], [0.750, 0.750, 0.750], [0.375, 0.375, 0.375], [0.875, 0.375, 0.375], [0.375, 0.375, 0.875]]
}



{
  "formula": "Ba2AgBr",
  "functional": "PBE-GGA",
  "state": "optimized geometry",
  "spacegroup": "No. 10",
  "de_polymorph_ev_per_atom": 0.074,
  "raw_formation_energy_ev_per_atom": -0.84,
  "magnetic_moment_mub_per_cell": 0.0,
  "cell": [[4.082, 0.000, 0.000], [0.000, 4.082, 0.169], [0.000, 3.812, 8.937]],
  "species": ["Ba", "Ag", "Br", "Ba"],
  "fractional_positions": [[0.000, 0.482, 0.522], [0.500, 0.750, 0.750], [0.500, 0.250, 0.250], [0.000, 0.018, 0.978]]
}



{
  "formula": "BaAgBr2",
  "functional": "PBE-GGA",
  "state": "optimized geometry",
  "spacegroup": "No. 122",
  "de_polymorph_ev_per_atom": 0.134,
  "raw_formation_energy_ev_per_atom": -1.00,
  "magnetic_moment_mub_per_cell": 0.0,
  "cell": [[5.723, 0.000, 0.000], [0.000, 5.723, 0.000], [2.861, 2.861, 9.469]],
  "species": ["Br", "Br", "Br", "Ag", "Br", "Ba", "Ag", "Ba"],
  "fractional_positions": [[0.875, 0.843, 0.750], [0.375, 0.407, 0.750], [0.157, 0.625, 0.250], [0.250, 0.750, 0.500], [0.593, 0.125, 0.250], [0.000, 0.000, 0.000], [0.500, 0.500, 0.000], [0.750, 0.250, 0.500]]
}



{
  "formula": "BaAg2Br4",
  "functional": "PBE-GGA",
  "state": "optimized geometry",
  "spacegroup": "No. 97",
  "de_polymorph_ev_per_atom": 0.011,
  "raw_formation_energy_ev_per_atom": -1.10,
  "magnetic_moment_mub_per_cell": 0.0,
  "cell": [[-4.097, 4.881, 3.185], [-5.429, 2.539, -2.907], [-5.176, -1.659, 3.851]],
  "species": ["Br", "Br", "Br", "Br", "Ba", "Ag", "Ag"],
  "fractional_positions": [[0.935, 0.130, 0.500], [0.565, 0.870, 0.500], [0.065, 0.500, 0.870], [0.435, 0.500, 0.130], [0.000, 0.000, 0.000], [0.500, 0.500, 0.500], [0.000, 0.500, 0.500]]
}